KBiMoF6 | Alexandria via LeMat-Bulk | GGA+U | optimized geometry; size of the total moment = 2.00 μB/f.u.; final energy = -4.959 eV per atom; space group = P1, No. 1; volume = 16.87 Å³ per atom
1.0
4.713 0.000 0.000
-0.758 6.014 0.000
-0.122 -2.923 5.357
K Bi Mo F
1 1 1 6
Direct
0.000 0.000 0.000 K
0.546 0.697 0.358 Bi
0.349 0.297 0.645 Mo
0.176 0.421 0.406 F
0.219 0.561 0.994 F
0.516 0.054 0.304 F
0.524 0.178 0.878 F
0.674 0.587 0.681 F
0.994 0.002 0.555 F